P) A geometry-optimized CoTe4 structure, computed with PBE-GGA.

a b c (Å): 5.0500 5.0500 5.0500
angles (deg): 90.00 90.00 90.00
Space group Pm-3m (No. 221)
Symmetry-distinct sites (fractional):
Co (0.0000, 0.0000, 0.0000) x1
Te (0.0000, 0.0000, 0.5000) x3
Te (0.5000, 0.5000, 0.5000) x1

N(E_F)   5.42 states/eV per cell
Crystal system   cubic

---

Q) A geometry-optimized CoTe4 structure, computed with PBE-GGA.

a b c (Å): 5.0674 7.7190 7.0514
angles (deg): 90.00 90.41 90.00
Space group P2/c (No. 13)
Symmetry-distinct sites (fractional):
Co (0.0000, 0.1170, 0.2500) x2
Te (0.2626, 0.3795, 0.1348) x4
Te (0.2677, 0.1047, 0.5587) x4

N(E_F)   5.45 states/eV per cell
Crystal system   monoclinic

---

Most stable of them? Q).